{
  "formula": "ZnRe2Si2",
  "functional": "PBE",
  "state": "optimized geometry",
  "lattice_angstrom": [[7.0971, 0.0000, 0.0000], [0.0000, 7.0971, 0.0000], [0.0000, 0.0000, 2.8454]],
  "species": ["Zn", "Zn", "Re", "Re", "Re", "Re", "Si", "Si", "Si", "Si"],
  "fractional_positions": [[0.0000, 0.0000, 0.0000], [0.5000, 0.5000, 0.0000], [0.1525, 0.3475, 0.5000], [0.3475, 0.8475, 0.5000], [0.6525, 0.1525, 0.5000], [0.8475, 0.6525, 0.5000], [0.1423, 0.6423, 0.0000], [0.3577, 0.1423, 0.0000], [0.6423, 0.8577, 0.0000], [0.8577, 0.3577, 0.0000]],
  "space_group": "P4/mbm (127)",
  "formation_energy_uncorrected_ev_per_atom": 0.060,
  "e_tot_ev_per_atom": -7.34,
  "magnetic_moment_mub_per_atom": 0.000
}


{
  "formula": "Sm7Dy4Ho2",
  "functional": "PBE",
  "state": "optimized geometry",
  "lattice_angstrom": [[8.0084, 0.0000, 0.0000], [-2.4076, 7.6428, 0.0000], [-2.4189, -3.2803, 6.9229]],
  "species": ["Sm", "Sm", "Sm", "Sm", "Sm", "Sm", "Sm", "Dy", "Dy", "Dy", "Dy", "Ho", "Ho"],
  "fractional_positions": [[0.0000, 0.0000, 0.0000], [0.3072, 0.9235, 0.7692], [0.3842, 0.1545, 0.4609], [0.4615, 0.3857, 0.1534], [0.5385, 0.6143, 0.8466], [0.6158, 0.8455, 0.5391], [0.6928, 0.0765, 0.2308], [0.0762, 0.2321, 0.6914], [0.2289, 0.6917, 0.0774], [0.7711, 0.3083, 0.9226], [0.9238, 0.7679, 0.3086], [0.1522, 0.4626, 0.3843], [0.8478, 0.5374, 0.6157]],
  "space_group": "P-1 (2)",
  "formation_energy_ev_per_atom": 0.02,
  "e_tot_ev_per_atom": -4.64,
  "magnetic_moment_mub_per_atom": 0.000
}


What did the first record say?
{
  "formula": "ZnRe2Si2",
  "functional": "PBE",
  "state": "optimized geometry",
  "lattice_angstrom": [[7.0971, 0.0000, 0.0000], [0.0000, 7.0971, 0.0000], [0.0000, 0.0000, 2.8454]],
  "species": ["Zn", "Zn", "Re", "Re", "Re", "Re", "Si", "Si", "Si", "Si"],
  "fractional_positions": [[0.0000, 0.0000, 0.0000], [0.5000, 0.5000, 0.0000], [0.1525, 0.3475, 0.5000], [0.3475, 0.8475, 0.5000], [0.6525, 0.1525, 0.5000], [0.8475, 0.6525, 0.5000], [0.1423, 0.6423, 0.0000], [0.3577, 0.1423, 0.0000], [0.6423, 0.8577, 0.0000], [0.8577, 0.3577, 0.0000]],
  "space_group": "P4/mbm (127)",
  "formation_energy_uncorrected_ev_per_atom": 0.060,
  "e_tot_ev_per_atom": -7.34,
  "magnetic_moment_mub_per_atom": 0.000
}